Density functional theory data (PBE) for a relaxed SrCa2Rh2 crystal.

a b c (Å): 8.377 8.377 3.460
angles (deg): 90.00 90.00 90.00
Fractional positions:
Sr  0.000  0.000  0.000
Sr  0.500  0.500  0.000
Ca  0.137  0.363  0.500
Ca  0.363  0.863  0.500
Ca  0.637  0.137  0.500
Ca  0.863  0.637  0.500
Rh  0.160  0.660  0.000
Rh  0.340  0.160  0.000
Rh  0.660  0.840  0.000
Rh  0.840  0.340  0.000

Output
Symmetry ... P4/mbm, No. 127
Relative energy among the computed polymorphs ... 0.0 meV per atom
E_form ... -1.22 eV/f.u.


Density functional theory data (PBE) for a relaxed CaCd3C crystal.

a b c (Å): 6.283 6.283 6.283
angles (deg): 90.00 90.00 90.00
Fractional positions:
Ca  0.000  0.000  0.000
Cd  0.000  0.000  0.500
Cd  0.000  0.500  0.000
Cd  0.500  0.000  0.000
C  0.500  0.500  0.500

Output
Symmetry ... Pm-3m, No. 221
Relative energy among the computed polymorphs ... 1134.5 meV per atom
E_form ... 8.85 eV/f.u.


Density functional theory data (PBE) for a relaxed NbInCoP2 crystal.

a b c (Å): 4.234 4.234 4.994
angles (deg): 90.00 90.00 90.00
Fractional positions:
Nb  0.000  0.000  0.000
In  0.500  0.500  0.000
Co  0.000  0.000  0.500
P  0.000  0.500  0.500
P  0.500  0.000  0.500

Output
Symmetry ... P4/mmm, No. 123
E_form ... 1.84 eV/f.u.


Number 1: calculated density 5.1 g/cm³, total DFT energy (no corrections) -4.32 eV/atom. Number 2: calculated density 2.6 g/cm³, total DFT energy (no corrections) -1.02 eV/atom. Number 3: calculated density 6.1 g/cm³, total DFT energy (no corrections) -5.78 eV/atom.